A relaxed Ac2NdYSe5 crystal. Source: Alexandria via LeMat-Bulk, functional PBE-GGA.

Results
As for the calculated volume: 294.0 Å³ per cell. For the magnetic moment, the calculation gives 0.00 μB/f.u. Its formation energy (no corrections) is -1494 meV/atom.

a = 5.1483 Å, b = 5.1483 Å, c = 11.0943 Å
α = 90.00°, β = 90.00°, γ = 90.00°
Fractional positions:
Ac (0.5000, 0.5000, 0.7109)
Ac (0.5000, 0.5000, 0.2891)
Y (0.0000, 0.0000, 0.5000)
Se (0.0000, 0.0000, 0.7514)
Se (0.0000, 0.5000, 0.5000)
Se (0.0000, 0.0000, 0.2486)
Se (0.5000, 0.5000, 0.0000)
Se (0.5000, 0.0000, 0.5000)
Nd (0.0000, 0.0000, 0.0000)